1.
Below is a relaxed Ba2CdRh crystal, with properties calculated at the GGA-PBE level.

Structure (POSCAR):
```
Ba2CdRh
1.0
2.2482 1.2980 8.7717
-2.2482 1.2980 8.7717
0.0000 -2.5960 8.7717
Ba Cd Rh
2 1 1
Cartesian
0.0000 0.0000 6.0760 Ba
0.0000 0.0000 20.2392 Ba
0.0000 0.0000 0.0000 Cd
0.0000 0.0000 13.1576 Rh
```

Results
Formation energy from the elements in eV per atom: -0.090
Crystal system: trigonal
DFT total energy in eV per cell: -12.47
N(E_F) in states/eV per atom: 0.794
Space-group type: No. 166

---

2.
Below is a relaxed BaCd2Rh crystal, with properties calculated at the GGA-PBE level.

Structure (POSCAR):
```
BaCd2Rh
1.0
4.1229 0.0000 0.0000
0.0000 4.4127 0.0000
-2.0511 0.0000 6.2492
Ba Cd Rh
1 2 1
Cartesian
0.0000 0.0000 0.0000 Ba
0.0149 0.0000 3.3924 Cd
2.0753 2.2063 3.0129 Cd
0.0129 2.2063 4.9744 Rh
```

Results
Formation energy from the elements in eV per atom: -0.088
Crystal system: monoclinic
DFT total energy in eV per cell: -11.46
N(E_F) in states/eV per atom: 0.450
Space-group type: No. 6

---

3.
Below is a relaxed Ba8Cd2Rh3 crystal, with properties calculated at the GGA-PBE level.

Structure (POSCAR):
```
Ba8Cd2Rh3
1.0
7.7852 -4.5782 0.0000
7.7852 4.5782 0.0000
-0.0703 0.0000 8.1112
Ba Cd Rh
8 2 3
Cartesian
1.5834 0.0000 6.8328 Ba
6.1538 2.3210 5.4781 Ba
9.3463 2.3210 2.6332 Ba
5.9079 0.0000 1.0862 Ba
9.5922 0.0000 7.0250 Ba
6.1538 -2.3210 5.4781 Ba
9.3463 -2.3210 2.6332 Ba
13.9167 0.0000 1.2784 Ba
3.7738 0.0000 4.0889 Cd
11.7263 0.0000 4.0224 Cd
-0.0351 0.0000 4.0556 Rh
7.7852 2.1656 0.0000 Rh
7.7852 -2.1656 0.0000 Rh
```

Results
Formation energy from the elements in eV per atom: -0.164
Crystal system: monoclinic
DFT total energy in eV per cell: -41.40
N(E_F) in states/eV per atom: 0.609
Space-group type: No. 12

---

4.
Below is a relaxed BaCdRh2 crystal, with properties calculated at the GGA-PBE level.

Structure (POSCAR):
```
BaCdRh2
1.0
4.3806 0.0000 0.0000
0.0000 2.1853 5.2126
0.0000 -2.1853 5.2126
Ba Cd Rh
1 1 2
Cartesian
0.0000 0.0000 0.0000 Ba
2.1903 0.0000 7.4152 Cd
0.0000 0.0000 2.9772 Rh
2.1903 0.0000 4.0964 Rh
```

Results
Formation energy from the elements in eV per atom: 0.036
Crystal system: orthorhombic
DFT total energy in eV per cell: -17.40
N(E_F) in states/eV per atom: 0.935
Space-group type: No. 38

---

5.
Below is a relaxed BaCd3Rh crystal, with properties calculated at the GGA-PBE level.

Structure (POSCAR):
```
BaCd3Rh
1.0
2.7681 1.5982 9.5064
-2.7681 1.5982 9.5064
0.0000 -3.1963 9.5064
Ba Cd Rh
2 6 2
Cartesian
0.0000 0.0000 5.2920 Ba
0.0000 0.0000 23.2272 Ba
-0.8019 -1.6077 10.8327 Cd
-1.7932 -0.1094 17.6865 Cd
-0.9913 1.4983 10.8327 Cd
0.9913 -1.4983 17.6865 Cd
1.7932 0.1094 10.8327 Cd
0.8019 1.6077 17.6865 Cd
0.0000 0.0000 12.9980 Rh
0.0000 0.0000 15.5212 Rh
```

Results
Formation energy from the elements in eV per atom: -0.072
Offset from the most stable computed form in eV/atom: 0.188
Crystal system: trigonal
DFT total energy in eV per cell: -24.76
N(E_F) in states/eV per atom: 0.447
Space-group type: No. 148

---

6.
Below is a relaxed BaCd2Rh crystal, with properties calculated at the GGA-PBE level.

Structure (POSCAR):
```
BaCd2Rh
1.0
4.1463 -2.3934 0.0000
4.1463 2.3934 0.0000
-2.7731 0.0000 5.7252
Ba Cd Rh
1 2 1
Cartesian
0.0000 0.0000 0.0000 Ba
-0.0075 0.0000 3.4073 Cd
2.7570 0.0000 2.4194 Cd
5.5209 0.0000 2.4862 Rh
```

Results
Formation energy from the elements in eV per atom: -0.241
Crystal system: monoclinic
DFT total energy in eV per cell: -12.07
N(E_F) in states/eV per atom: 0.582
Space-group type: No. 8